The following is a DFT calculation (PBE) of a relaxed structure of MnBe2Hg.

Computed properties:
Magnetic moment ... 0.74 μB/atom
Formation energy ... 27.9 kJ per mole of atoms

The structure in CIF format:
```
data_MnBe2Hg
_space_group_name_H-M_alt 'A m m 2'
_space_group_IT_number 38
_space_group_name_Hall 'A 2 -2'
_cell_length_a 3.7479
_cell_length_b 2.9589
_cell_length_c 9.1498
_cell_angle_alpha 90.00
_cell_angle_beta 90.00
_cell_angle_gamma 90.00
loop_
_atom_site_label
_atom_site_type_symbol
_atom_site_fract_x
_atom_site_fract_y
_atom_site_fract_z
Mn1 Mn 0.0000 0.0000 0.0000
Be1 Be 0.0000 0.0000 0.7058
Be2 Be 0.5000 0.0000 0.5730
Hg1 Hg 0.5000 0.0000 0.3052
```

=====

The following is a DFT calculation (PBE) of a relaxed structure of Sc3Rh4Pb.

Computed properties:
Magnetic moment ... 0.00 μB/atom
Formation energy ... -78.4 kJ per mole of atoms

The structure in CIF format:
```
data_Sc3Rh4Pb
_space_group_name_H-M_alt 'R -3 m'
_space_group_IT_number 166
_space_group_name_Hall '-R 3 2"'
_cell_length_a 4.5841
_cell_length_b 4.5841
_cell_length_c 22.6847
_cell_angle_alpha 90.00
_cell_angle_beta 90.00
_cell_angle_gamma 120.00
loop_
_atom_site_label
_atom_site_type_symbol
_atom_site_fract_x
_atom_site_fract_y
_atom_site_fract_z
Sc1 Sc 0.0000 0.0000 0.0000
Sc2 Sc 0.0000 0.0000 0.2489
Rh1 Rh 0.0000 0.0000 0.1194
Rh2 Rh 0.0000 0.0000 0.3723
Pb1 Pb 0.0000 0.0000 0.5000
```

=====

The following is a DFT calculation (PBE) of a relaxed structure of TbHfCu4.

Computed properties:
Energy above the most stable polymorph in this dataset ... 0.0000 eV/atom
Magnetic moment ... 0.00 μB/atom
Formation energy ... -16.4 kJ per mole of atoms

The structure in CIF format:
```
data_TbHfCu4
_space_group_name_H-M_alt 'P m m m'
_space_group_IT_number 47
_space_group_name_Hall '-P 2 2'
_cell_length_a 3.1639
_cell_length_b 4.2935
_cell_length_c 7.3684
_cell_angle_alpha 90.00
_cell_angle_beta 90.00
_cell_angle_gamma 90.00
loop_
_atom_site_label
_atom_site_type_symbol
_atom_site_fract_x
_atom_site_fract_y
_atom_site_fract_z
Tb1 Tb 0.0000 0.0000 0.0000
Hf1 Hf 0.0000 0.5000 0.5000
Cu1 Cu 0.5000 0.0000 0.3393
Cu2 Cu 0.5000 0.5000 0.1751
```

=====

The following is a DFT calculation (PBE) of a relaxed structure of RbEr2S3.

Computed properties:
Formation energy (no corrections) ... -1.7473 eV/atom
Magnetic moment ... 0.00 μB/atom

The structure in CIF format:
```
data_RbEr2S3
_space_group_name_H-M_alt 'C m c m'
_space_group_IT_number 63
_space_group_name_Hall '-C 2c 2'
_cell_length_a 12.2113
_cell_length_b 7.0501
_cell_length_c 7.2681
_cell_angle_alpha 90.00
_cell_angle_beta 90.00
_cell_angle_gamma 90.00
loop_
_atom_site_label
_atom_site_type_symbol
_atom_site_fract_x
_atom_site_fract_y
_atom_site_fract_z
Rb1 Rb 0.0000 0.0008 0.2500
Er1 Er 0.1667 0.5000 0.0000
S1 S 0.0000 0.4983 0.7500
S2 S 0.2495 0.2496 0.2500
```

=====

The following is a DFT calculation (PBE) of a relaxed structure of GeB3Cl.

Computed properties:
Formation energy (no corrections) ... 2.3062 eV/atom
Energy above the most stable polymorph in this dataset ... 0.4652 eV/atom
Magnetic moment ... 0.00 μB/atom

The structure in CIF format:
```
data_GeB3Cl
_space_group_name_H-M_alt 'P m -3 m'
_space_group_IT_number 221
_space_group_name_Hall '-P 4 2 3'
_cell_length_a 3.9222
_cell_length_b 3.9222
_cell_length_c 3.9222
_cell_angle_alpha 90.00
_cell_angle_beta 90.00
_cell_angle_gamma 90.00
loop_
_atom_site_label
_atom_site_type_symbol
_atom_site_fract_x
_atom_site_fract_y
_atom_site_fract_z
Ge1 Ge 0.0000 0.0000 0.0000
B1 B 0.0000 0.5000 0.5000
Cl1 Cl 0.5000 0.5000 0.5000
```

=====

The following is a DFT calculation (PBE) of a relaxed structure of Co3MoH2.

Computed properties:
E_tot ... -0.2369 hartree per atom
Magnetic moment ... 0.38 μB/atom

The structure in CIF format:
```
data_Co3MoH2
_space_group_name_H-M_alt 'C 1 2/m 1'
_space_group_IT_number 12
_space_group_name_Hall '-C 2y'
_cell_length_a 9.6266
_cell_length_b 2.6582
_cell_length_c 9.1290
_cell_angle_alpha 90.00
_cell_angle_beta 118.22
_cell_angle_gamma 90.00
loop_
_atom_site_label
_atom_site_type_symbol
_atom_site_fract_x
_atom_site_fract_y
_atom_site_fract_z
Co1 Co 0.1179 0.0000 0.2239
Co2 Co 0.1189 0.5000 0.9790
Co3 Co 0.1230 0.5000 0.4787
Mo1 Mo 0.1152 0.0000 0.7219
H1 H 0.2330 0.0000 0.1104
H2 H 0.2361 0.5000 0.3780
```

=====

The following is a DFT calculation (PBE) of a relaxed structure of SbCN2F.

Computed properties:
Formation energy (no corrections) ... 1.8408 eV/atom
Energy above the most stable polymorph in this dataset ... 0.4354 eV/atom
Magnetic moment ... 0.00 μB/atom

The structure in CIF format:
```
data_SbCN2F
_space_group_name_H-M_alt 'P 4/m m m'
_space_group_IT_number 123
_space_group_name_Hall '-P 4 2'
_cell_length_a 4.0347
_cell_length_b 4.0347
_cell_length_c 4.0357
_cell_angle_alpha 90.00
_cell_angle_beta 90.00
_cell_angle_gamma 90.00
loop_
_atom_site_label
_atom_site_type_symbol
_atom_site_fract_x
_atom_site_fract_y
_atom_site_fract_z
Sb1 Sb 0.0000 0.0000 0.0000
C1 C 0.5000 0.5000 0.5000
N1 N 0.0000 0.5000 0.0000
F1 F 0.0000 0.0000 0.5000
```